Below is a geometry-optimized YBePt structure, with properties calculated at the PBEsol level.

Cell: 6.353 6.353 6.353 Å, 90.00 90.00 90.00°
Positions (direct):
Y1 0.000 0.000 0.000
Y2 0.000 0.500 0.500
Y3 0.500 0.000 0.500
Y4 0.500 0.500 0.000
Be1 0.250 0.250 0.750
Be2 0.250 0.750 0.250
Be3 0.750 0.250 0.250
Be4 0.750 0.750 0.750
Pt1 0.250 0.250 0.250
Pt2 0.250 0.750 0.750
Pt3 0.750 0.250 0.750
Pt4 0.750 0.750 0.250

Properties
Density   7.6 g/cm³
Space group   No. 216
ΔE_f   0.25 eV per atom
Energy above the lowest structure with this stoichiometry   1074.1 meV/atom
Crystal system   cubic